# 1
## La2Ga3Pt (PBE)

Data for a relaxed La2Ga3Pt crystal. Values from VASP.

Quantum ESPRESSO input file:
```
&SYSTEM
  ibrav = 0, nat = 6, ntyp = 3
/
ATOMIC_SPECIES
La 138.91 La.upf
Ga 69.72 Ga.upf
Pt 195.08 Pt.upf
CELL_PARAMETERS angstrom
3.9729 0.0000 0.0000
0.0000 4.4759 0.0000
0.0000 0.0000 7.8807
ATOMIC_POSITIONS crystal
La 0.0000 0.0000 0.0000
La 0.0000 0.5000 0.4707
Ga 0.5000 0.0000 0.6514
Ga 0.5000 0.5000 0.1491
Ga 0.5000 0.5000 0.8199
Pt 0.5000 0.0000 0.3204
```

**Calculated density**: 8.1 Mg/m³
**Energy of formation from the pure elements**: -0.85 eV per atom


# 2
## KSr2Tl2 (PBE)

Data for a relaxed KSr2Tl2 crystal. Values from VASP.

Quantum ESPRESSO input file:
```
&SYSTEM
  ibrav = 0, nat = 10, ntyp = 3
/
ATOMIC_SPECIES
K 39.10 K.upf
Sr 87.62 Sr.upf
Tl 204.38 Tl.upf
CELL_PARAMETERS angstrom
9.8571 0.0000 0.0000
0.0000 9.8571 0.0000
0.0000 0.0000 3.9699
ATOMIC_POSITIONS crystal
K 0.0000 0.0000 0.0000
K 0.5000 0.5000 0.0000
Sr 0.1405 0.3595 0.0000
Sr 0.3595 0.8595 0.0000
Sr 0.6405 0.1405 0.0000
Sr 0.8595 0.6405 0.0000
Tl 0.1547 0.6547 0.5000
Tl 0.3453 0.1547 0.5000
Tl 0.6547 0.8453 0.5000
Tl 0.8453 0.3453 0.5000
```

**Calculated density**: 5.4 Mg/m³
**Energy of formation from the pure elements**: -0.23 eV per atom


# 3
## NdGa3Fe (PBE)

Data for a relaxed NdGa3Fe crystal. Values from VASP.

Quantum ESPRESSO input file:
```
&SYSTEM
  ibrav = 0, nat = 5, ntyp = 3
/
ATOMIC_SPECIES
Nd 144.24 Nd.upf
Ga 69.72 Ga.upf
Fe 55.84 Fe.upf
CELL_PARAMETERS angstrom
4.5751 0.0000 0.0000
0.0000 4.5751 0.0000
0.0000 0.0000 4.5751
ATOMIC_POSITIONS crystal
Nd 0.0000 0.0000 0.0000
Ga 0.0000 0.5000 0.5000
Ga 0.5000 0.0000 0.5000
Ga 0.5000 0.5000 0.0000
Fe 0.5000 0.5000 0.5000
```

**Calculated density**: 7.1 Mg/m³
**Energy of formation from the pure elements**: -0.39 eV per atom


# 4
## Zr4Cu2Rh (PBE)

Data for a relaxed Zr4Cu2Rh crystal. Values from VASP.

Quantum ESPRESSO input file:
```
&SYSTEM
  ibrav = 0, nat = 7, ntyp = 3
/
ATOMIC_SPECIES
Zr 91.22 Zr.upf
Cu 63.55 Cu.upf
Rh 102.91 Rh.upf
CELL_PARAMETERS angstrom
2.2913 1.3229 7.3621
-2.2913 1.3229 7.3621
0.0000 -2.6458 7.3621
ATOMIC_POSITIONS crystal
Zr 0.1172 0.1172 0.1172
Zr 0.3692 0.3692 0.3692
Zr 0.6308 0.6308 0.6308
Zr 0.8828 0.8828 0.8828
Cu 0.2441 0.2441 0.2441
Cu 0.7559 0.7559 0.7559
Rh 0.5000 0.5000 0.5000
```

**Calculated density**: 7.4 Mg/m³
**Energy of formation from the pure elements**: -0.17 eV per atom


# 5
## Ba2YMg (PBE)

Data for a relaxed Ba2YMg crystal. Values from VASP.

Quantum ESPRESSO input file:
```
&SYSTEM
  ibrav = 0, nat = 12, ntyp = 3
/
ATOMIC_SPECIES
Ba 137.33 Ba.upf
Y 88.91 Y.upf
Mg 24.30 Mg.upf
CELL_PARAMETERS angstrom
3.9919 0.0000 0.0000
-1.9960 3.4571 0.0000
0.0000 0.0000 37.4406
ATOMIC_POSITIONS crystal
Ba 0.0000 0.0000 0.0000
Ba 0.0000 0.0000 0.2296
Ba 0.3333 0.6667 0.6667
Ba 0.3333 0.6667 0.8963
Ba 0.6667 0.3333 0.3333
Ba 0.6667 0.3333 0.5630
Y 0.0000 0.0000 0.7539
Y 0.3333 0.6667 0.4206
Y 0.6667 0.3333 0.0872
Mg 0.0000 0.0000 0.4851
Mg 0.3333 0.6667 0.1518
Mg 0.6667 0.3333 0.8185
```

**Calculated density**: 3.7 Mg/m³
**Energy of formation from the pure elements**: 0.19 eV per atom


# 6
## CuPIr (PBE)

Data for a relaxed CuPIr crystal. Values from VASP.

Quantum ESPRESSO input file:
```
&SYSTEM
  ibrav = 0, nat = 6, ntyp = 3
/
ATOMIC_SPECIES
Cu 63.55 Cu.upf
P 30.97 P.upf
Ir 192.22 Ir.upf
CELL_PARAMETERS angstrom
1.9642 1.1340 6.4312
-1.9642 1.1340 6.4312
0.0000 -2.2681 6.4312
ATOMIC_POSITIONS crystal
Cu 0.1278 0.1278 0.1278
Cu 0.8722 0.8722 0.8722
P 0.2539 0.2539 0.2539
P 0.7461 0.7461 0.7461
Ir 0.3793 0.3793 0.3793
Ir 0.6207 0.6207 0.6207
```

**Calculated density**: 11.1 Mg/m³
**Energy of formation from the pure elements**: -0.17 eV per atom


# 7
## Tm4TlRu (PBE)

Data for a relaxed Tm4TlRu crystal. Values from VASP.

Quantum ESPRESSO input file:
```
&SYSTEM
  ibrav = 0, nat = 6, ntyp = 3
/
ATOMIC_SPECIES
Tm 168.93 Tm.upf
Tl 204.38 Tl.upf
Ru 101.07 Ru.upf
CELL_PARAMETERS angstrom
4.8292 0.0000 0.0000
0.0000 4.8292 0.0000
0.0000 0.0000 7.2453
ATOMIC_POSITIONS crystal
Tm 0.0000 0.5000 0.2235
Tm 0.0000 0.5000 0.7765
Tm 0.5000 0.0000 0.2235
Tm 0.5000 0.0000 0.7765
Tl 0.0000 0.0000 0.5000
Ru 0.5000 0.5000 0.0000
```

**Calculated density**: 9.6 Mg/m³
**Energy of formation from the pure elements**: -0.19 eV per atom


# 8
## Ta2SiHg (PBE)

Data for a relaxed Ta2SiHg crystal. Values from VASP.

Quantum ESPRESSO input file:
```
&SYSTEM
  ibrav = 0, nat = 8, ntyp = 3
/
ATOMIC_SPECIES
Ta 180.95 Ta.upf
Si 28.09 Si.upf
Hg 200.59 Hg.upf
CELL_PARAMETERS angstrom
5.8052 0.0000 0.0000
0.0000 8.3693 0.0000
0.0000 0.0000 2.8765
ATOMIC_POSITIONS crystal
Ta 0.2500 0.2500 0.0000
Ta 0.2500 0.7500 0.0000
Ta 0.7500 0.2500 0.0000
Ta 0.7500 0.7500 0.0000
Si 0.0000 0.0000 0.5000
Si 0.5000 0.5000 0.5000
Hg 0.0000 0.5000 0.5000
Hg 0.5000 0.0000 0.5000
```

**Calculated density**: 14.0 Mg/m³
**Raw formation energy**: 0.24 eV per atom


# 9
## K2AsSe5 (PBE)

Data for a relaxed K2AsSe5 crystal. Values from VASP.

Quantum ESPRESSO input file:
```
&SYSTEM
  ibrav = 0, nat = 8, ntyp = 3
/
ATOMIC_SPECIES
K 39.10 K.upf
As 74.92 As.upf
Se 78.96 Se.upf
CELL_PARAMETERS angstrom
6.0082 0.0000 0.0000
-1.9320 6.7650 0.0000
-0.6791 -2.7177 6.8433
ATOMIC_POSITIONS crystal
K 0.0000 0.0000 0.0000
K 0.4816 0.8494 0.3703
As 0.3093 0.5101 0.7269
Se 0.4257 0.3444 0.4250
Se 0.4412 0.8797 0.8175
Se 0.4947 0.4298 0.9978
Se 0.8860 0.3749 0.4248
Se 0.9148 0.4758 0.1364
```

**Calculated density**: 3.3 Mg/m³
**Raw formation energy**: -0.46 eV per atom


# 10
## YScZn2 (PBE)

Data for a relaxed YScZn2 crystal. Values from VASP.

Quantum ESPRESSO input file:
```
&SYSTEM
  ibrav = 0, nat = 12, ntyp = 3
/
ATOMIC_SPECIES
Y 88.91 Y.upf
Sc 44.96 Sc.upf
Zn 65.41 Zn.upf
CELL_PARAMETERS angstrom
3.4631 0.0000 0.0000
-1.7316 2.9992 0.0000
0.0000 0.0000 26.4918
ATOMIC_POSITIONS crystal
Y 0.0000 0.0000 0.0000
Y 0.3333 0.6667 0.6667
Y 0.6667 0.3333 0.3333
Sc 0.0000 0.0000 0.2290
Sc 0.3333 0.6667 0.8957
Sc 0.6667 0.3333 0.5623
Zn 0.0000 0.0000 0.4835
Zn 0.0000 0.0000 0.7540
Zn 0.3333 0.6667 0.1502
Zn 0.3333 0.6667 0.4207
Zn 0.6667 0.3333 0.0873
Zn 0.6667 0.3333 0.8169
```

**Calculated density**: 4.8 Mg/m³
**Energy of formation from the pure elements**: -0.03 eV per atom


# 11
## TaCrOs2 (PBE)

Data for a relaxed TaCrOs2 crystal. Values from VASP.

Quantum ESPRESSO input file:
```
&SYSTEM
  ibrav = 0, nat = 4, ntyp = 3
/
ATOMIC_SPECIES
Ta 180.95 Ta.upf
Cr 52.00 Cr.upf
Os 190.23 Os.upf
CELL_PARAMETERS angstrom
4.3693 0.0000 0.0000
0.0000 4.3693 0.0000
0.0000 0.0000 3.1598
ATOMIC_POSITIONS crystal
Ta 0.0000 0.0000 0.0000
Cr 0.5000 0.5000 0.0000
Os 0.0000 0.5000 0.5000
Os 0.5000 0.0000 0.5000
```

**Calculated density**: 16.9 Mg/m³
**Energy of formation from the pure elements**: -0.06 eV per atom


# 12
## NpPd3Pt2 (PBE)

Data for a relaxed NpPd3Pt2 crystal. Values from VASP.

Quantum ESPRESSO input file:
```
&SYSTEM
  ibrav = 0, nat = 12, ntyp = 3
/
ATOMIC_SPECIES
Np 237.00 Np.upf
Pd 106.42 Pd.upf
Pt 195.08 Pt.upf
CELL_PARAMETERS angstrom
2.8345 -6.9660 0.0000
2.8345 6.9660 0.0000
0.0000 0.0000 5.3342
ATOMIC_POSITIONS crystal
Np 0.1535 0.8465 0.7500
Np 0.8465 0.1535 0.2500
Pd 0.0761 0.4268 0.7500
Pd 0.3444 0.6556 0.2500
Pd 0.4268 0.0761 0.2500
Pd 0.5732 0.9239 0.7500
Pd 0.6556 0.3444 0.7500
Pd 0.9239 0.5732 0.2500
Pt 0.2554 0.2554 0.0000
Pt 0.2554 0.2554 0.5000
Pt 0.7446 0.7446 0.0000
Pt 0.7446 0.7446 0.5000
```

**Calculated density**: 14.9 Mg/m³
**Energy of formation from the pure elements**: -0.25 eV per atom


# 13
## PtAuBr2 (PBE)

Data for a relaxed PtAuBr2 crystal. Values from VASP.

Quantum ESPRESSO input file:
```
&SYSTEM
  ibrav = 0, nat = 12, ntyp = 3
/
ATOMIC_SPECIES
Pt 195.08 Pt.upf
Au 196.97 Au.upf
Br 79.90 Br.upf
CELL_PARAMETERS angstrom
3.0259 0.0000 0.0000
-1.5129 2.6205 0.0000
0.0000 0.0000 35.5071
ATOMIC_POSITIONS crystal
Pt 0.0000 0.0000 0.0000
Pt 0.3333 0.6667 0.6667
Pt 0.6667 0.3333 0.3333
Au 0.0000 0.0000 0.5000
Au 0.3333 0.6667 0.1667
Au 0.6667 0.3333 0.8333
Br 0.0000 0.0000 0.0678
Br 0.0000 0.0000 0.9322
Br 0.3333 0.6667 0.5989
Br 0.3333 0.6667 0.7344
Br 0.6667 0.3333 0.2656
Br 0.6667 0.3333 0.4011
```

**Calculated density**: 9.8 Mg/m³
**Raw formation energy**: 0.37 eV per atom


# 14
## LaZnS2 (PBE)

Data for a relaxed LaZnS2 crystal. Values from VASP.

Quantum ESPRESSO input file:
```
&SYSTEM
  ibrav = 0, nat = 12, ntyp = 3
/
ATOMIC_SPECIES
La 138.91 La.upf
Zn 65.41 Zn.upf
S 32.06 S.upf
CELL_PARAMETERS angstrom
4.2574 0.0000 0.0000
-2.1287 3.6870 0.0000
0.0000 0.0000 23.1115
ATOMIC_POSITIONS crystal
La 0.0000 0.0000 0.0000
La 0.3333 0.6667 0.6667
La 0.6667 0.3333 0.3333
Zn 0.0000 0.0000 0.5000
Zn 0.3333 0.6667 0.1667
Zn 0.6667 0.3333 0.8333
S 0.0000 0.0000 0.4002
S 0.0000 0.0000 0.5998
S 0.3333 0.6667 0.0669
S 0.3333 0.6667 0.2664
S 0.6667 0.3333 0.7336
S 0.6667 0.3333 0.9331
```

**Calculated density**: 3.7 Mg/m³
**Raw formation energy**: -1.18 eV per atom


# 15
## La4PrDy (PBE)

Data for a relaxed La4PrDy crystal. Values from VASP.

Quantum ESPRESSO input file:
```
&SYSTEM
  ibrav = 0, nat = 12, ntyp = 3
/
ATOMIC_SPECIES
La 138.91 La.upf
Pr 140.91 Pr.upf
Dy 162.50 Dy.upf
CELL_PARAMETERS angstrom
11.5556 0.0000 0.0000
0.0000 6.0378 0.0000
-0.0031 0.0000 6.1998
ATOMIC_POSITIONS crystal
La 0.1740 0.0000 0.4499
La 0.1762 0.5000 0.0477
La 0.3238 0.0000 0.9523
La 0.3260 0.5000 0.5501
La 0.6740 0.5000 0.4499
La 0.6762 0.0000 0.0477
La 0.8238 0.5000 0.9523
La 0.8260 0.0000 0.5501
Pr 0.0000 0.5000 0.5000
Pr 0.5000 0.0000 0.5000
Dy 0.0000 0.0000 0.0000
Dy 0.5000 0.5000 0.0000
```

**Calculated density**: 6.6 Mg/m³
**Energy of formation from the pure elements**: 0.10 eV per atom


| no. | uncorrected energy (eV per atom) | DOS(E_F) (states/eV per atom) | M_tot (μB/atom) |
| --- | --- | --- | --- |
| 1 | -5.01 | 0.6472 | 0.000 |
| 2 | -2.06 | 0.4228 | 0.000 |
| 3 | -4.86 | 0.3325 | 0.000 |
| 4 | -7.28 | 1.1303 | 0.000 |
| 5 | -2.79 | 1.6874 | 0.089 |
| 6 | -6.29 | 0.4963 | 0.000 |
| 7 | -5.11 | 1.1477 | 0.000 |
| 8 | -7.12 | 0.4980 | 0.000 |
| 9 | -3.49 | 0.1186 | 0.000 |
| 10 | -3.87 | 0.6535 | 0.166 |
| 11 | -11.05 | 1.0575 | 0.708 |
| 12 | -7.02 | 2.0226 | 0.441 |
| 13 | -2.80 | 0.6256 | 0.000 |
| 14 | -4.79 | 0.7660 | 0.000 |
| 15 | -4.75 | 1.7350 | 0.000 |